# 1
# UPt4 (PBE, relaxed)
data_UPt4
_chemical_formula_sum 'U2 Pt8'
_symmetry_space_group_name_H-M 'C 1 2/m 1'
_symmetry_Int_Tables_number 12
_cell_length_a 7.539
_cell_length_b 5.024
_cell_length_c 4.963
_cell_angle_alpha 90.00
_cell_angle_beta 109.72
_cell_angle_gamma 90.00
loop_
_symmetry_equiv_pos_as_xyz
'x,y,z'
'-x,-y,-z'
'-x,y,-z'
'x,-y,z'
'x+1/2,y+1/2,z'
'-x+1/2,-y+1/2,-z'
'-x+1/2,y+1/2,-z'
'x+1/2,-y+1/2,z'
loop_
_atom_site_label
_atom_site_type_symbol
_atom_site_fract_x
_atom_site_fract_y
_atom_site_fract_z
U1 U 0.000 0.000 0.000
Pt1 Pt 0.093 0.500 0.792
Pt2 Pt 0.198 0.000 0.606
# Energy ... -76.04 eV/cell
# Energy of formation from the pure elements ... -0.5141 eV/atom

=====

# 2
# Pr3Sm5Er4 (PBE, relaxed)
data_Pr3Sm5Er4
_chemical_formula_sum 'Pr3 Sm5 Er4'
_symmetry_space_group_name_H-M 'P -1'
_symmetry_Int_Tables_number 2
_cell_length_a 6.253
_cell_length_b 7.209
_cell_length_c 8.837
_cell_angle_alpha 90.08
_cell_angle_beta 90.03
_cell_angle_gamma 90.07
loop_
_symmetry_equiv_pos_as_xyz
'x,y,z'
'-x,-y,-z'
loop_
_atom_site_label
_atom_site_type_symbol
_atom_site_fract_x
_atom_site_fract_y
_atom_site_fract_z
Pr1 Pr 0.000 0.000 0.000
Pr2 Pr 0.166 0.747 0.665
Sm1 Sm 0.000 0.500 0.000
Sm2 Sm 0.334 0.000 0.335
Sm3 Sm 0.498 0.253 0.000
Er1 Er 0.168 0.252 0.665
Er2 Er 0.335 0.501 0.335
# Energy ... -55.98 eV/cell
# Energy relative to the lowest polymorph listed for this composition ... 0.0 kJ/mol of formula units
# Energy of formation from the pure elements ... 0.0174 eV/atom

=====

# 3
# Pu2AuC (PBE, relaxed)
data_Pu2AuC
_chemical_formula_sum 'Pu6 Au3 C3'
_symmetry_space_group_name_H-M 'R -3 m'
_symmetry_Int_Tables_number 166
_symmetry_space_group_name_Hall '-R 3 2"'
_cell_length_a 3.4928
_cell_length_b 3.4928
_cell_length_c 23.1999
_cell_angle_alpha 90.00
_cell_angle_beta 90.00
_cell_angle_gamma 120.00
loop_
_atom_site_label
_atom_site_type_symbol
_atom_site_fract_x
_atom_site_fract_y
_atom_site_fract_z
Pu1 Pu 0.0000 0.0000 0.2283
Au1 Au 0.0000 0.0000 0.0000
C1 C 0.0000 0.0000 0.5000
# Energy ... -125.21 eV/cell
# Energy relative to the lowest polymorph listed for this composition ... 5.7 kJ/mol of formula units
# Energy of formation from the pure elements ... -0.1432 eV/atom

=====

# 4
# AcHPd (PBE, relaxed)
data_AcHPd
_chemical_formula_sum 'Ac1 H1 Pd1'
_symmetry_space_group_name_H-M 'P 3 m 1'
_symmetry_Int_Tables_number 156
_cell_length_a 4.2109
_cell_length_b 4.2109
_cell_length_c 4.1809
_cell_angle_alpha 90.00
_cell_angle_beta 90.00
_cell_angle_gamma 120.00
loop_
_symmetry_equiv_pos_as_xyz
'x,y,z'
'-y,x-y,z'
'-x+y,-x,z'
'-y,-x,z'
'-x+y,y,z'
'x,x-y,z'
loop_
_atom_site_label
_atom_site_type_symbol
_atom_site_fract_x
_atom_site_fract_y
_atom_site_fract_z
Ac1 Ac 0.0000 0.0000 0.0000
H1 H 0.3333 0.6667 0.9986
Pd1 Pd 0.6667 0.3333 0.5002
# Energy ... -14.01 eV/cell
# Energy relative to the lowest polymorph listed for this composition ... 54.0 kJ/mol of formula units

=====

# 5
# NaAc2Pr3Te6 (PBE, relaxed)
data_NaAc2Pr3Te6
_chemical_formula_sum 'Na2 Ac4 Pr6 Te12'
_symmetry_space_group_name_H-M 'C 1 2/m 1'
_symmetry_Int_Tables_number 12
_cell_length_a 20.195
_cell_length_b 4.590
_cell_length_c 9.287
_cell_angle_alpha 90.00
_cell_angle_beta 104.32
_cell_angle_gamma 90.00
loop_
_symmetry_equiv_pos_as_xyz
'x,y,z'
'-x,-y,-z'
'-x,y,-z'
'x,-y,z'
'x+1/2,y+1/2,z'
'-x+1/2,-y+1/2,-z'
'-x+1/2,y+1/2,-z'
'x+1/2,-y+1/2,z'
loop_
_atom_site_label
_atom_site_type_symbol
_atom_site_fract_x
_atom_site_fract_y
_atom_site_fract_z
Na1 Na 0.000 0.000 0.000
Ac1 Ac 0.166 0.500 0.332
Pr1 Pr 0.000 0.000 0.500
Pr2 Pr 0.166 0.500 0.826
Te1 Te 0.003 0.500 0.751
Te2 Te 0.164 0.000 0.587
Te3 Te 0.166 0.000 0.071
# Energy ... -119.87 eV/cell
# Energy relative to the elements, uncorrected ... -1.43 eV/atom

=====

# 6
# Ac6Sb5Se (PBE, relaxed)
data_Ac6Sb5Se
_chemical_formula_sum 'Ac12 Sb10 Se2'
_symmetry_space_group_name_H-M 'C 1 2/m 1'
_symmetry_Int_Tables_number 12
_cell_length_a 8.227
_cell_length_b 14.249
_cell_length_c 8.233
_cell_angle_alpha 90.00
_cell_angle_beta 109.48
_cell_angle_gamma 90.00
loop_
_symmetry_equiv_pos_as_xyz
'x,y,z'
'-x,-y,-z'
'-x,y,-z'
'x,-y,z'
'x+1/2,y+1/2,z'
'-x+1/2,-y+1/2,-z'
'-x+1/2,y+1/2,-z'
'x+1/2,-y+1/2,z'
loop_
_atom_site_label
_atom_site_type_symbol
_atom_site_fract_x
_atom_site_fract_y
_atom_site_fract_z
Ac1 Ac 0.247 0.000 0.250
Ac2 Ac 0.248 0.165 0.748
Sb1 Sb 0.000 0.168 0.000
Sb2 Sb 0.000 0.334 0.500
Sb3 Sb 0.000 0.500 0.000
Se1 Se 0.000 0.000 0.500
# Energy ... -129.78 eV/cell
# Energy relative to the elements, uncorrected ... -1.35 eV/atom

=====

# 7
# CdPH (PBE, relaxed)
data_CdPH
_chemical_formula_sum 'Cd2 P2 H2'
_symmetry_space_group_name_H-M 'P 1'
_symmetry_Int_Tables_number 1
_cell_length_a 4.176
_cell_length_b 4.177
_cell_length_c 7.837
_cell_angle_alpha 90.85
_cell_angle_beta 104.63
_cell_angle_gamma 119.87
loop_
_symmetry_equiv_pos_as_xyz
'x,y,z'
loop_
_atom_site_label
_atom_site_type_symbol
_atom_site_fract_x
_atom_site_fract_y
_atom_site_fract_z
Cd1 Cd 0.000 0.000 0.000
Cd2 Cd 0.454 0.221 0.676
P1 P 0.251 0.634 0.838
P2 P 0.379 0.260 0.338
H1 H 0.476 0.640 0.343
H2 H 0.751 0.341 0.334
# Energy ... -19.54 eV/cell
# Energy relative to the lowest polymorph listed for this composition ... 3.1 kJ/mol of formula units